a.
An optimized crystal structure of Cr2TcNiH, computed with PBE.

```
Cr2TcNiH
1.0
-1.671 2.878 1.578
-2.804 -2.173 0.994
1.744 -0.767 3.244
Cr Tc Ni H
2 1 1 1
direct
0.500 0.000 0.000
0.000 0.500 0.000
0.000 0.000 0.500
0.500 0.500 0.500
0.000 0.000 0.000
```

Values from the calculation:
Magnetic moment, Bohr magnetons per cell: 0.00
Space-group type: P4/mmm

b.
An optimized crystal structure of Cr2TcNiH, computed with PBE.

```
Cr2TcNiH
1.0
3.760 0.000 0.000
0.000 3.760 0.000
0.000 0.000 3.566
Cr Ni H Tc
2 1 1 1
direct
0.500 0.000 0.000
0.000 0.500 0.000
0.000 0.000 0.500
0.000 0.000 0.000
0.500 0.500 0.500
```

Values from the calculation:
Magnetic moment, Bohr magnetons per cell: 0.27
Space-group type: P4/mmm

The structure with the least stability is a.

a.
An optimized crystal structure of VCrNi2H, computed with PBE.

```
VCrNi2H
1.0
-2.389 1.759 1.950
-2.586 -2.038 -1.329
0.504 -2.528 2.897
V Ni H Cr
1 2 1 1
direct
0.500 0.500 0.500
0.500 0.000 0.000
0.000 0.500 0.000
0.000 0.000 0.000
0.000 0.000 0.500
```

Values from the calculation:
Magnetic moment, Bohr magnetons per cell: 1.36
Space-group type: P4/mmm

b.
An optimized crystal structure of VCrNi2H, computed with PBE.

```
VCrNi2H
1.0
3.531 0.000 0.000
0.000 3.531 0.000
0.000 0.000 3.933
Ni V H Cr
2 1 1 1
direct
0.000 0.500 0.000
0.500 0.000 0.000
0.000 0.000 0.500
0.000 0.000 0.000
0.500 0.500 0.500
```

Values from the calculation:
Magnetic moment, Bohr magnetons per cell: 1.08
Space-group type: P4/mmm

The structure with the least stability is b.